The following is a DFT calculation (GGA-PBE) of an optimized crystal structure of ZrSi.

Results
Uncorrected energy: -7.199 eV per atom
Raw formation energy: -0.21 eV/atom

Unit cell a=9.2121 b=9.2121 c=9.2121 alpha=161.58 beta=161.58 gamma=26.17
Last column: nearest neighbours and their distance in Å.
Fractional coordinates of all 4 atoms:
Zr 0.1695 0.1695 0.0000  4 Si 2.80, 4 Zr 2.95
Zr 0.8305 0.8305 0.0000  4 Si 2.80, 4 Zr 2.95
Si 0.4345 0.4345 0.0000  1 Si 2.35
Si 0.5655 0.5655 0.0000  1 Si 2.35



The following is a DFT calculation (GGA-PBE) of an optimized crystal structure of DyHoSe2.

Results
Uncorrected energy: -5.413 eV per atom
E above lowest polymorph: 0.360 eV/atom
Raw formation energy: -1.38 eV/atom

Unit cell a=4.2433 b=9.1435 c=6.4057 alpha=90.00 beta=90.00 gamma=90.00
Last column: nearest neighbours and their distance in Å.
Fractional coordinates of all 8 atoms:
Dy 0.0000 0.1648 0.0000  4 Se 2.75-2.86
Dy 0.5000 0.8352 0.5000  4 Se 2.75-2.86
Ho 0.0000 0.5838 0.1344  4 Se 2.75-2.99
Ho 0.5000 0.4162 0.6344  4 Se 2.75-2.99
Se 0.0000 0.3293 0.3633  3 Ho 2.75-2.85, 1 Dy 2.77
Se 0.0000 0.9017 0.2427  3 Dy 2.75-2.86, 1 Ho 2.99
Se 0.5000 0.0983 0.7427  3 Dy 2.75-2.86, 1 Ho 2.99
Se 0.5000 0.6707 0.8633  3 Ho 2.75-2.85, 1 Dy 2.77



- Look up the uncorrected energy of the first one.
  -7.199 eV per atom